i) ## NaGeCl2 (PBE-GGA)

Data for a relaxed structure of NaGeCl2.

a b c (Å): 5.530 5.530 15.562
angles (deg): 90.00 90.00 90.00
Sites, in units of the cell vectors:
Na (0.000, 0.000, 0.000)
Na (0.000, 0.500, 0.250)
Na (0.500, 0.000, 0.750)
Na (0.500, 0.500, 0.500)
Ge (0.000, 0.000, 0.500)
Ge (0.000, 0.500, 0.750)
Ge (0.500, 0.000, 0.250)
Ge (0.500, 0.500, 0.000)
Cl (0.239, 0.250, 0.625)
Cl (0.250, 0.739, 0.875)
Cl (0.250, 0.761, 0.375)
Cl (0.261, 0.250, 0.125)
Cl (0.739, 0.750, 0.125)
Cl (0.750, 0.239, 0.375)
Cl (0.750, 0.261, 0.875)
Cl (0.761, 0.750, 0.625)

***

ii) ## NaGeCl2 (PBE-GGA)

Data for a relaxed structure of NaGeCl2.

a b c (Å): 7.055 7.055 7.055
angles (deg): 90.00 90.00 90.00
Sites, in units of the cell vectors:
Na (0.000, 0.000, 0.000)
Na (0.000, 0.500, 0.500)
Na (0.500, 0.000, 0.500)
Na (0.500, 0.500, 0.000)
Ge (0.000, 0.000, 0.500)
Ge (0.000, 0.500, 0.000)
Ge (0.500, 0.000, 0.000)
Ge (0.500, 0.500, 0.500)
Cl (0.250, 0.250, 0.250)
Cl (0.250, 0.250, 0.750)
Cl (0.250, 0.750, 0.250)
Cl (0.250, 0.750, 0.750)
Cl (0.750, 0.250, 0.250)
Cl (0.750, 0.250, 0.750)
Cl (0.750, 0.750, 0.250)
Cl (0.750, 0.750, 0.750)

***

Result of the stability comparison: ii) is the least stable of them.

***

i) ## Na2GeCl (PBE-GGA)

Data for a relaxed structure of Na2GeCl.

a b c (Å): 7.486 7.486 7.486
angles (deg): 90.00 90.00 90.00
Sites, in units of the cell vectors:
Na (0.250, 0.250, 0.250)
Na (0.250, 0.250, 0.750)
Na (0.250, 0.750, 0.250)
Na (0.250, 0.750, 0.750)
Na (0.750, 0.250, 0.250)
Na (0.750, 0.250, 0.750)
Na (0.750, 0.750, 0.250)
Na (0.750, 0.750, 0.750)
Ge (0.000, 0.000, 0.000)
Ge (0.000, 0.500, 0.500)
Ge (0.500, 0.000, 0.500)
Ge (0.500, 0.500, 0.000)
Cl (0.000, 0.000, 0.500)
Cl (0.000, 0.500, 0.000)
Cl (0.500, 0.000, 0.000)
Cl (0.500, 0.500, 0.500)

***

ii) ## Na2GeCl (PBE-GGA)

Data for a relaxed structure of Na2GeCl.

a b c (Å): 7.570 7.570 7.508
angles (deg): 90.00 90.00 90.00
Sites, in units of the cell vectors:
Na (0.209, 0.750, 0.125)
Na (0.250, 0.209, 0.875)
Na (0.250, 0.291, 0.375)
Na (0.291, 0.750, 0.625)
Na (0.709, 0.250, 0.625)
Na (0.750, 0.709, 0.375)
Na (0.750, 0.791, 0.875)
Na (0.791, 0.250, 0.125)
Ge (0.000, 0.000, 0.500)
Ge (0.000, 0.500, 0.750)
Ge (0.500, 0.000, 0.250)
Ge (0.500, 0.500, 0.000)
Cl (0.000, 0.000, 0.000)
Cl (0.000, 0.500, 0.250)
Cl (0.500, 0.000, 0.750)
Cl (0.500, 0.500, 0.500)

***

Result of the stability comparison: i) is the least stable of them.

***

i) ## NaGe2Cl (PBE-GGA)

Data for a relaxed structure of NaGe2Cl.

a b c (Å): 10.352 10.352 4.709
angles (deg): 90.00 90.00 90.00
Sites, in units of the cell vectors:
Na (0.000, 0.000, 0.000)
Na (0.000, 0.500, 0.250)
Na (0.500, 0.000, 0.750)
Na (0.500, 0.500, 0.500)
Ge (0.193, 0.250, 0.625)
Ge (0.250, 0.693, 0.875)
Ge (0.250, 0.807, 0.375)
Ge (0.307, 0.250, 0.125)
Ge (0.693, 0.750, 0.125)
Ge (0.750, 0.193, 0.375)
Ge (0.750, 0.307, 0.875)
Ge (0.807, 0.750, 0.625)
Cl (0.000, 0.000, 0.500)
Cl (0.000, 0.500, 0.750)
Cl (0.500, 0.000, 0.250)
Cl (0.500, 0.500, 0.000)

***

ii) ## NaGe2Cl (PBE-GGA)

Data for a relaxed structure of NaGe2Cl.

a b c (Å): 7.103 7.103 7.103
angles (deg): 90.00 90.00 90.00
Sites, in units of the cell vectors:
Na (0.000, 0.000, 0.000)
Na (0.000, 0.500, 0.500)
Na (0.500, 0.000, 0.500)
Na (0.500, 0.500, 0.000)
Ge (0.250, 0.250, 0.250)
Ge (0.250, 0.250, 0.750)
Ge (0.250, 0.750, 0.250)
Ge (0.250, 0.750, 0.750)
Ge (0.750, 0.250, 0.250)
Ge (0.750, 0.250, 0.750)
Ge (0.750, 0.750, 0.250)
Ge (0.750, 0.750, 0.750)
Cl (0.000, 0.000, 0.500)
Cl (0.000, 0.500, 0.000)
Cl (0.500, 0.000, 0.000)
Cl (0.500, 0.500, 0.500)

***

Result of the stability comparison: ii) is the least stable of them.

***

i) ## NaGePCl2 (PBE-GGA)

Data for a relaxed structure of NaGePCl2.

a b c (Å): 4.900 4.900 5.452
angles (deg): 90.00 90.00 90.00
Sites, in units of the cell vectors:
Na (0.000, 0.000, 0.000)
Ge (0.500, 0.500, 0.500)
P (0.000, 0.000, 0.500)
Cl (0.000, 0.500, 0.000)
Cl (0.500, 0.000, 0.000)

***

ii) ## NaGePCl2 (PBE-GGA)

Data for a relaxed structure of NaGePCl2.

a b c (Å): 5.284 5.284 4.724
angles (deg): 90.00 90.00 90.00
Sites, in units of the cell vectors:
Na (0.000, 0.000, 0.000)
Ge (0.500, 0.500, 0.500)
P (0.500, 0.500, 0.000)
Cl (0.000, 0.500, 0.500)
Cl (0.500, 0.000, 0.500)

***

Result of the stability comparison: i) is the least stable of them.

***

i) ## NaGeS2Cl (PBE-GGA)

Data for a relaxed structure of NaGeS2Cl.

a b c (Å): 4.696 4.696 5.332
angles (deg): 90.00 90.00 90.00
Sites, in units of the cell vectors:
Na (0.000, 0.000, 0.000)
Ge (0.500, 0.500, 0.500)
S (0.000, 0.500, 0.500)
S (0.500, 0.000, 0.500)
Cl (0.500, 0.500, 0.000)

***

ii) ## NaGeS2Cl (PBE-GGA)

Data for a relaxed structure of NaGeS2Cl.

a b c (Å): 4.975 4.975 4.909
angles (deg): 90.00 90.00 90.00
Sites, in units of the cell vectors:
Na (0.000, 0.000, 0.000)
Ge (0.500, 0.500, 0.500)
S (0.000, 0.500, 0.000)
S (0.500, 0.000, 0.000)
Cl (0.000, 0.000, 0.500)

***

Result of the stability comparison: ii) is the least stable of them.

***

i) ## NbGeCl3 (PBE-GGA)

Data for a relaxed structure of NbGeCl3.

a b c (Å): 5.055 5.055 5.055
angles (deg): 90.00 90.00 90.00
Sites, in units of the cell vectors:
Nb (0.000, 0.000, 0.000)
Ge (0.500, 0.500, 0.500)
Cl (0.000, 0.000, 0.500)
Cl (0.000, 0.500, 0.000)
Cl (0.500, 0.000, 0.000)

***

ii) ## NbGeCl3 (PBE-GGA)

Data for a relaxed structure of NbGeCl3.

a b c (Å): 5.140 5.140 5.140
angles (deg): 90.00 90.00 90.00
Sites, in units of the cell vectors:
Nb (0.000, 0.000, 0.000)
Ge (0.500, 0.500, 0.500)
Cl (0.000, 0.500, 0.500)
Cl (0.500, 0.000, 0.500)
Cl (0.500, 0.500, 0.000)

***

Result of the stability comparison: ii) is the least stable of them.

***

i) ## NbGePCl2 (PBE-GGA)

Data for a relaxed structure of NbGePCl2.

a b c (Å): 4.800 4.800 5.060
angles (deg): 90.00 90.00 90.00
Sites, in units of the cell vectors:
Nb (0.000, 0.000, 0.000)
Ge (0.500, 0.500, 0.500)
P (0.000, 0.000, 0.500)
Cl (0.000, 0.500, 0.000)
Cl (0.500, 0.000, 0.000)

***

ii) ## NbGePCl2 (PBE-GGA)

Data for a relaxed structure of NbGePCl2.

a b c (Å): 4.756 4.756 5.009
angles (deg): 90.00 90.00 90.00
Sites, in units of the cell vectors:
Nb (0.000, 0.000, 0.000)
Ge (0.500, 0.500, 0.500)
P (0.500, 0.500, 0.000)
Cl (0.000, 0.500, 0.500)
Cl (0.500, 0.000, 0.500)

***

Result of the stability comparison: ii) is the least stable of them.

***

i) ## NbGeS2Cl (PBE-GGA)

Data for a relaxed structure of NbGeS2Cl.

a b c (Å): 4.850 4.850 4.806
angles (deg): 90.00 90.00 90.00
Sites, in units of the cell vectors:
Nb (0.000, 0.000, 0.000)
Ge (0.500, 0.500, 0.500)
S (0.000, 0.500, 0.000)
S (0.500, 0.000, 0.000)
Cl (0.000, 0.000, 0.500)

***

ii) ## NbGeS2Cl (PBE-GGA)

Data for a relaxed structure of NbGeS2Cl.

a b c (Å): 4.773 4.773 4.662
angles (deg): 90.00 90.00 90.00
Sites, in units of the cell vectors:
Nb (0.000, 0.000, 0.000)
Ge (0.500, 0.500, 0.500)
S (0.000, 0.500, 0.500)
S (0.500, 0.000, 0.500)
Cl (0.500, 0.500, 0.000)

***

Result of the stability comparison: ii) is the least stable of them.

***

i) ## NiGe3Cl (PBE-GGA)

Data for a relaxed structure of NiGe3Cl.

a b c (Å): 4.870 4.870 4.870
angles (deg): 90.00 90.00 90.00
Sites, in units of the cell vectors:
Ni (0.000, 0.000, 0.000)
Ge (0.000, 0.500, 0.500)
Ge (0.500, 0.000, 0.500)
Ge (0.500, 0.500, 0.000)
Cl (0.500, 0.500, 0.500)

***

ii) ## NiGe3Cl (PBE-GGA)

Data for a relaxed structure of NiGe3Cl.

a b c (Å): 4.667 4.667 4.667
angles (deg): 90.00 90.00 90.00
Sites, in units of the cell vectors:
Ni (0.000, 0.000, 0.000)
Ge (0.000, 0.000, 0.500)
Ge (0.000, 0.500, 0.000)
Ge (0.500, 0.000, 0.000)
Cl (0.500, 0.500, 0.500)

***

Result of the stability comparison: i) is the least stable of them.

***

i) ## GeClO2 (PBE-GGA)

Data for a relaxed structure of GeClO2.

a b c (Å): 2.859 2.859 25.069
angles (deg): 90.00 90.00 120.00
Sites, in units of the cell vectors:
Ge (0.000, 0.000, 0.000)
Ge (0.333, 0.667, 0.667)
Ge (0.667, 0.333, 0.333)
Cl (0.000, 0.000, 0.500)
Cl (0.333, 0.667, 0.167)
Cl (0.667, 0.333, 0.833)
O (0.000, 0.000, 0.373)
O (0.000, 0.000, 0.627)
O (0.333, 0.667, 0.039)
O (0.333, 0.667, 0.294)
O (0.667, 0.333, 0.706)
O (0.667, 0.333, 0.961)

***

ii) ## GeClO2 (PBE-GGA)

Data for a relaxed structure of GeClO2.

a b c (Å): 5.906 5.906 5.906
angles (deg): 90.00 90.00 90.00
Sites, in units of the cell vectors:
Ge (0.000, 0.000, 0.000)
Ge (0.000, 0.500, 0.500)
Ge (0.500, 0.000, 0.500)
Ge (0.500, 0.500, 0.000)
Cl (0.000, 0.000, 0.500)
Cl (0.000, 0.500, 0.000)
Cl (0.500, 0.000, 0.000)
Cl (0.500, 0.500, 0.500)
O (0.250, 0.250, 0.250)
O (0.250, 0.250, 0.750)
O (0.250, 0.750, 0.250)
O (0.250, 0.750, 0.750)
O (0.750, 0.250, 0.250)
O (0.750, 0.250, 0.750)
O (0.750, 0.750, 0.250)
O (0.750, 0.750, 0.750)

***

iii) ## GeClO2 (PBE-GGA)

Data for a relaxed structure of GeClO2.

a b c (Å): 3.246 3.246 24.760
angles (deg): 90.00 90.00 120.00
Sites, in units of the cell vectors:
Ge (0.000, 0.000, 0.000)
Ge (0.333, 0.667, 0.667)
Ge (0.667, 0.333, 0.333)
Cl (0.000, 0.000, 0.500)
Cl (0.333, 0.667, 0.167)
Cl (0.667, 0.333, 0.833)
O (0.000, 0.000, 0.066)
O (0.000, 0.000, 0.934)
O (0.333, 0.667, 0.601)
O (0.333, 0.667, 0.732)
O (0.667, 0.333, 0.268)
O (0.667, 0.333, 0.399)

***

iv) ## GeClO2 (PBE-GGA)

Data for a relaxed structure of GeClO2.

a b c (Å): 5.639 5.639 7.915
angles (deg): 90.00 90.00 90.00
Sites, in units of the cell vectors:
Ge (0.000, 0.000, 0.000)
Ge (0.000, 0.500, 0.250)
Ge (0.500, 0.000, 0.750)
Ge (0.500, 0.500, 0.500)
Cl (0.000, 0.000, 0.500)
Cl (0.000, 0.500, 0.750)
Cl (0.500, 0.000, 0.250)
Cl (0.500, 0.500, 0.000)
O (0.057, 0.250, 0.125)
O (0.250, 0.557, 0.375)
O (0.250, 0.943, 0.875)
O (0.443, 0.250, 0.625)
O (0.557, 0.750, 0.625)
O (0.750, 0.057, 0.875)
O (0.750, 0.443, 0.375)
O (0.943, 0.750, 0.125)

***

Result of the stability comparison: ii) is the least stable of them.

***

i) ## Ge2Os2Cl (PBE-GGA)

Data for a relaxed structure of Ge2Os2Cl.

a b c (Å): 7.285 7.285 2.984
angles (deg): 90.00 90.00 90.00
Sites, in units of the cell vectors:
Ge (0.145, 0.355, 0.000)
Ge (0.355, 0.855, 0.000)
Ge (0.645, 0.145, 0.000)
Ge (0.855, 0.645, 0.000)
Os (0.148, 0.648, 0.500)
Os (0.352, 0.148, 0.500)
Os (0.648, 0.852, 0.500)
Os (0.852, 0.352, 0.500)
Cl (0.000, 0.000, 0.500)
Cl (0.500, 0.500, 0.500)

***

ii) ## Ge2Os2Cl (PBE-GGA)

Data for a relaxed structure of Ge2Os2Cl.

a b c (Å): 4.162 4.162 10.612
angles (deg): 90.00 90.00 90.00
Sites, in units of the cell vectors:
Ge (0.000, 0.500, 0.250)
Ge (0.000, 0.500, 0.750)
Ge (0.500, 0.000, 0.250)
Ge (0.500, 0.000, 0.750)
Os (0.000, 0.000, 0.120)
Os (0.000, 0.000, 0.880)
Os (0.500, 0.500, 0.380)
Os (0.500, 0.500, 0.620)
Cl (0.000, 0.000, 0.500)
Cl (0.500, 0.500, 0.000)

***

Result of the stability comparison: ii) is the least stable of them.

***

i) ## GeOs2Cl (PBE-GGA)

Data for a relaxed structure of GeOs2Cl.

a b c (Å): 5.385 5.385 10.831
angles (deg): 90.00 90.00 90.00
Sites, in units of the cell vectors:
Ge (0.000, 0.000, 0.000)
Ge (0.000, 0.500, 0.250)
Ge (0.500, 0.000, 0.750)
Ge (0.500, 0.500, 0.500)
Os (0.223, 0.250, 0.625)
Os (0.250, 0.723, 0.875)
Os (0.250, 0.777, 0.375)
Os (0.277, 0.250, 0.125)
Os (0.723, 0.750, 0.125)
Os (0.750, 0.223, 0.375)
Os (0.750, 0.277, 0.875)
Os (0.777, 0.750, 0.625)
Cl (0.000, 0.000, 0.500)
Cl (0.000, 0.500, 0.750)
Cl (0.500, 0.000, 0.250)
Cl (0.500, 0.500, 0.000)

***

ii) ## GeOs2Cl (PBE-GGA)

Data for a relaxed structure of GeOs2Cl.

a b c (Å): 6.162 6.162 6.162
angles (deg): 90.00 90.00 90.00
Sites, in units of the cell vectors:
Ge (0.000, 0.000, 0.000)
Ge (0.000, 0.500, 0.500)
Ge (0.500, 0.000, 0.500)
Ge (0.500, 0.500, 0.000)
Os (0.250, 0.250, 0.250)
Os (0.250, 0.250, 0.750)
Os (0.250, 0.750, 0.250)
Os (0.250, 0.750, 0.750)
Os (0.750, 0.250, 0.250)
Os (0.750, 0.250, 0.750)
Os (0.750, 0.750, 0.250)
Os (0.750, 0.750, 0.750)
Cl (0.000, 0.000, 0.500)
Cl (0.000, 0.500, 0.000)
Cl (0.500, 0.000, 0.000)
Cl (0.500, 0.500, 0.500)

***

Result of the stability comparison: i) is the least stable of them.

***

i) ## GeOsCl2 (PBE-GGA)

Data for a relaxed structure of GeOsCl2.

a b c (Å): 3.505 3.505 29.334
angles (deg): 90.00 90.00 120.00
Sites, in units of the cell vectors:
Ge (0.000, 0.000, 0.000)
Ge (0.333, 0.667, 0.667)
Ge (0.667, 0.333, 0.333)
Os (0.000, 0.000, 0.500)
Os (0.333, 0.667, 0.167)
Os (0.667, 0.333, 0.833)
Cl (0.000, 0.000, 0.124)
Cl (0.000, 0.000, 0.876)
Cl (0.333, 0.667, 0.543)
Cl (0.333, 0.667, 0.791)
Cl (0.667, 0.333, 0.209)
Cl (0.667, 0.333, 0.457)

***

ii) ## GeOsCl2 (PBE-GGA)

Data for a relaxed structure of GeOsCl2.

a b c (Å): 6.604 6.604 6.604
angles (deg): 90.00 90.00 90.00
Sites, in units of the cell vectors:
Ge (0.000, 0.000, 0.000)
Ge (0.000, 0.500, 0.500)
Ge (0.500, 0.000, 0.500)
Ge (0.500, 0.500, 0.000)
Os (0.000, 0.000, 0.500)
Os (0.000, 0.500, 0.000)
Os (0.500, 0.000, 0.000)
Os (0.500, 0.500, 0.500)
Cl (0.250, 0.250, 0.250)
Cl (0.250, 0.250, 0.750)
Cl (0.250, 0.750, 0.250)
Cl (0.250, 0.750, 0.750)
Cl (0.750, 0.250, 0.250)
Cl (0.750, 0.250, 0.750)
Cl (0.750, 0.750, 0.250)
Cl (0.750, 0.750, 0.750)

***

Result of the stability comparison: ii) is the least stable of them.